(1)
Computed, not measured: a relaxed Sm8Ho5Th crystal at the PBE level of DFT.

Output
- uncorrected energy (eV per atom) = -4.576
- SG = No. 82

abc: 8.5115 8.5115 8.5115
angles: 111.04 111.04 106.37
Fractional coordinates of all 14 atoms:
Sm 0.0780 0.3381 0.6048
Sm 0.1555 0.4266 0.0836
Sm 0.3429 0.0718 0.9164
Sm 0.5268 0.9220 0.2601
Sm 0.5734 0.6571 0.7289
Sm 0.6619 0.2667 0.7399
Sm 0.7333 0.4732 0.3952
Sm 0.9282 0.8445 0.2711
Ho 0.0353 0.7193 0.9070
Ho 0.2807 0.1877 0.3160
Ho 0.5000 0.5000 0.0000
Ho 0.8123 0.1283 0.0930
Ho 0.8717 0.9647 0.6840
Th 0.2500 0.7500 0.5000


(2)
Computed, not measured: a relaxed SmHo6Th3 crystal at the PBE level of DFT.

Output
- uncorrected energy (eV per atom) = -5.085
- SG = No. 148

abc: 6.9360 6.9360 6.9360
angles: 90.44 90.44 90.44
Fractional coordinates of all 10 atoms:
Sm 0.0000 0.0000 0.0000
Ho 0.0800 0.7474 0.4181
Ho 0.2526 0.5819 0.9200
Ho 0.4181 0.0800 0.7474
Ho 0.5819 0.9200 0.2526
Ho 0.7474 0.4181 0.0800
Ho 0.9200 0.2526 0.5819
Th 0.2485 0.2485 0.2485
Th 0.5000 0.5000 0.5000
Th 0.7515 0.7515 0.7515


(3)
Computed, not measured: a relaxed Sm8Ho2Th crystal at the PBE level of DFT.

Output
- uncorrected energy (eV per atom) = -4.908
- SG = No. 12

abc: 9.5412 9.5412 8.0719
angles: 104.73 104.73 31.00
Fractional coordinates of all 11 atoms:
Sm 0.0452 0.0452 0.2334
Sm 0.1355 0.1355 0.6817
Sm 0.3196 0.3196 0.5904
Sm 0.4088 0.4088 0.0475
Sm 0.5912 0.5912 0.9525
Sm 0.6804 0.6804 0.4096
Sm 0.8645 0.8645 0.3183
Sm 0.9548 0.9548 0.7666
Ho 0.2280 0.2280 0.1354
Ho 0.7720 0.7720 0.8646
Th 0.5000 0.5000 0.5000


(4)
Computed, not measured: a relaxed Sm2Ho5Th4 crystal at the PBE level of DFT.

Output
- uncorrected energy (eV per atom) = -5.606
- SG = No. 2

abc: 3.5770 8.6889 11.8796
angles: 104.63 98.61 90.03
Fractional coordinates of all 11 atoms:
Sm 0.0889 0.2194 0.1792
Sm 0.9111 0.7806 0.8208
Ho 0.0000 0.5000 0.0000
Ho 0.2717 0.6858 0.5433
Ho 0.3632 0.4011 0.7263
Ho 0.6368 0.5989 0.2737
Ho 0.7283 0.3142 0.4567
Th 0.1828 0.9542 0.3651
Th 0.4526 0.1379 0.9065
Th 0.5474 0.8621 0.0935
Th 0.8172 0.0458 0.6349


(5)
Computed, not measured: a relaxed SmHo6Th4 crystal at the PBE level of DFT.

Output
- uncorrected energy (eV per atom) = -5.125
- SG = No. 121

abc: 8.4952 8.4952 8.4952
angles: 124.59 124.59 82.21
Fractional coordinates of all 11 atoms:
Sm 0.0000 0.0000 0.0000
Ho 0.0000 0.5000 0.5000
Ho 0.0781 0.5530 0.0000
Ho 0.4470 0.4470 0.5250
Ho 0.5000 0.0000 0.5000
Ho 0.5530 0.0781 0.0000
Ho 0.9219 0.9219 0.4750
Th 0.2594 0.2594 0.6660
Th 0.4066 0.7406 0.0000
Th 0.5934 0.5934 0.3340
Th 0.7406 0.4066 0.0000


(6)
Computed, not measured: a relaxed Sm2Ho7Th2 crystal at the PBE level of DFT.

Output
- uncorrected energy (eV per atom) = -4.938
- SG = No. 12

abc: 7.9818 7.9818 6.1100
angles: 106.11 106.11 91.99
Fractional coordinates of all 11 atoms:
Sm 0.2140 0.7860 0.0000
Sm 0.7860 0.2140 0.0000
Ho 0.0000 0.0000 0.5000
Ho 0.0669 0.5891 0.3299
Ho 0.2419 0.2419 0.0787
Ho 0.4109 0.9331 0.6701
Ho 0.5891 0.0669 0.3299
Ho 0.7581 0.7581 0.9213
Ho 0.9331 0.4109 0.6701
Th 0.4097 0.4097 0.6888
Th 0.5903 0.5903 0.3112


(7)
Computed, not measured: a relaxed Sm12Ho6Th crystal at the PBE level of DFT.

Output
- uncorrected energy (eV per atom) = -4.683
- SG = No. 148

abc: 8.6113 8.6113 8.6113
angles: 89.01 89.01 89.01
Fractional coordinates of all 19 atoms:
Sm 0.0147 0.1990 0.3555
Sm 0.1990 0.3555 0.0147
Sm 0.2200 0.4630 0.5627
Sm 0.3555 0.0147 0.1990
Sm 0.4373 0.7800 0.5370
Sm 0.4630 0.5627 0.2200
Sm 0.5370 0.4373 0.7800
Sm 0.5627 0.2200 0.4630
Sm 0.6445 0.9853 0.8010
Sm 0.7800 0.5370 0.4373
Sm 0.8010 0.6445 0.9853
Sm 0.9853 0.8010 0.6445
Ho 0.0969 0.6993 0.2555
Ho 0.2555 0.0969 0.6993
Ho 0.3007 0.7445 0.9031
Ho 0.6993 0.2555 0.0969
Ho 0.7445 0.9031 0.3007
Ho 0.9031 0.3007 0.7445
Th 0.0000 0.0000 0.0000


(8)
Computed, not measured: a relaxed Sm5Ho2Th4 crystal at the PBE level of DFT.

Output
- uncorrected energy (eV per atom) = -5.554
- SG = No. 2

abc: 6.4160 6.8829 9.0570
angles: 110.55 95.69 98.33
Fractional coordinates of all 11 atoms:
Sm 0.0000 0.0000 0.0000
Sm 0.1722 0.7597 0.6402
Sm 0.3028 0.0637 0.3985
Sm 0.6972 0.9363 0.6015
Sm 0.8278 0.2403 0.3598
Ho 0.0945 0.3474 0.7902
Ho 0.9055 0.6526 0.2098
Th 0.3956 0.5057 0.3036
Th 0.4638 0.7723 0.0360
Th 0.5362 0.2277 0.9640
Th 0.6044 0.4943 0.6964


(9)
Computed, not measured: a relaxed Sm12HoTh5 crystal at the PBE level of DFT.

Output
- uncorrected energy (eV per atom) = -5.428
- SG = No. 65

abc: 10.8269 10.8269 5.1053
angles: 90.00 90.00 90.19
Fractional coordinates of all 18 atoms:
Sm 0.0069 0.3266 0.5000
Sm 0.1593 0.8407 0.0000
Sm 0.1726 0.4942 0.0000
Sm 0.3266 0.0069 0.5000
Sm 0.3359 0.6641 0.5000
Sm 0.4942 0.1726 0.0000
Sm 0.5058 0.8274 0.0000
Sm 0.6641 0.3359 0.5000
Sm 0.6734 0.9931 0.5000
Sm 0.8274 0.5058 0.0000
Sm 0.8407 0.1593 0.0000
Sm 0.9931 0.6734 0.5000
Ho 0.5000 0.5000 0.0000
Th 0.0000 0.0000 0.5000
Th 0.1682 0.1682 0.0000
Th 0.3346 0.3346 0.5000
Th 0.6654 0.6654 0.5000
Th 0.8318 0.8318 0.0000


(10)
Computed, not measured: a relaxed Sm2Ho5Th3 crystal at the PBE level of DFT.

Output
- uncorrected energy (eV per atom) = -5.417
- SG = No. 12

abc: 6.1742 6.1742 11.2847
angles: 90.11 90.11 48.07
Fractional coordinates of all 10 atoms:
Sm 0.0976 0.0976 0.2984
Sm 0.9024 0.9024 0.7016
Ho 0.1998 0.1998 0.6021
Ho 0.2994 0.2994 0.9015
Ho 0.5000 0.5000 0.5000
Ho 0.7006 0.7006 0.0985
Ho 0.8002 0.8002 0.3979
Th 0.0000 0.0000 0.0000
Th 0.4013 0.4013 0.1992
Th 0.5987 0.5987 0.8008